i.
# CsCa3I PBE relaxed
# N(E_F)   1.668 states/eV/atom
data_CsCa3I
_cell_length_a 6.538
_cell_length_b 6.538
_cell_length_c 6.538
_cell_angle_alpha 90.00
_cell_angle_beta 90.00
_cell_angle_gamma 90.00
_space_group_name_H-M_alt 'P m -3 m'
_space_group_IT_number 221
_space_group_name_Hall '-P 4 2 3'
loop_
_atom_site_label
_atom_site_type_symbol
_atom_site_fract_x
_atom_site_fract_y
_atom_site_fract_z
_atom_site_occupancy
Cs1 Cs 0.000 0.000 0.000 1
Ca1 Ca 0.000 0.500 0.500 1
I1 I 0.500 0.500 0.500 1

ii.
# CsCa3I PBE relaxed
# N(E_F)   0.000 states/eV/atom
data_CsCa3I
_cell_length_a 7.775
_cell_length_b 7.775
_cell_length_c 7.775
_cell_angle_alpha 90.00
_cell_angle_beta 90.00
_cell_angle_gamma 90.00
_space_group_name_H-M_alt 'P m -3 m'
_space_group_IT_number 221
_space_group_name_Hall '-P 4 2 3'
loop_
_atom_site_label
_atom_site_type_symbol
_atom_site_fract_x
_atom_site_fract_y
_atom_site_fract_z
_atom_site_occupancy
Cs1 Cs 0.000 0.000 0.000 1
Ca1 Ca 0.000 0.000 0.500 1
I1 I 0.500 0.500 0.500 1

Most stable = i

i.
# CsCaMoPdI PBE relaxed
# N(E_F)   0.684 states/eV/atom
data_CsCaMoPdI
_cell_length_a 11.013
_cell_length_b 3.993
_cell_length_c 8.896
_cell_angle_alpha 90.00
_cell_angle_beta 103.66
_cell_angle_gamma 90.00
_space_group_name_H-M_alt 'C 1 m 1'
_space_group_IT_number 8
_space_group_name_Hall 'C -2y'
loop_
_atom_site_label
_atom_site_type_symbol
_atom_site_fract_x
_atom_site_fract_y
_atom_site_fract_z
_atom_site_occupancy
Cs1 Cs 0.000 0.000 0.000 1
Ca1 Ca 0.259 0.000 0.587 1
Mo1 Mo 0.474 0.500 0.518 1
Pd1 Pd 0.049 0.500 0.669 1
I1 I 0.267 0.500 0.271 1

ii.
# CsCaMoPdI PBE relaxed
# N(E_F)   0.802 states/eV/atom
data_CsCaMoPdI
_cell_length_a 4.3020
_cell_length_b 4.3020
_cell_length_c 10.3808
_cell_angle_alpha 90.00
_cell_angle_beta 90.00
_cell_angle_gamma 120.00
_space_group_name_H-M_alt 'P 3 m 1'
_space_group_IT_number 156
_space_group_name_Hall 'P 3 -2"'
loop_
_atom_site_label
_atom_site_type_symbol
_atom_site_fract_x
_atom_site_fract_y
_atom_site_fract_z
_atom_site_occupancy
Cs1 Cs 0.0000 0.0000 0.0000 1
Ca1 Ca 0.0000 0.0000 0.5008 1
Mo1 Mo 0.3333 0.6667 0.7137 1
Pd1 Pd 0.6667 0.3333 0.7044 1
I1 I 0.6667 0.3333 0.2912 1

iii.
# CsCaMoPdI PBE relaxed
# N(E_F)   0.794 states/eV/atom
data_CsCaMoPdI
_cell_length_a 4.2061
_cell_length_b 4.2061
_cell_length_c 32.7139
_cell_angle_alpha 90.00
_cell_angle_beta 90.00
_cell_angle_gamma 120.00
_space_group_name_H-M_alt 'R 3 m'
_space_group_IT_number 160
_space_group_name_Hall 'R 3 -2"'
loop_
_atom_site_label
_atom_site_type_symbol
_atom_site_fract_x
_atom_site_fract_y
_atom_site_fract_z
_atom_site_occupancy
Cs1 Cs 0.0000 0.0000 0.0000 1
Ca1 Ca 0.0000 0.0000 0.1622 1
Mo1 Mo 0.0000 0.0000 0.2487 1
Pd1 Pd 0.0000 0.0000 0.5637 1
I1 I 0.0000 0.0000 0.4303 1

Most stable = ii

i.
# CsCaMoPdI PBE relaxed
# N(E_F)   0.767 states/eV/atom
data_CsCaMoPdI
_cell_length_a 3.965
_cell_length_b 4.867
_cell_length_c 9.000
_cell_angle_alpha 90.00
_cell_angle_beta 90.20
_cell_angle_gamma 90.00
_space_group_name_H-M_alt 'P 1 m 1'
_space_group_IT_number 6
_space_group_name_Hall 'P -2y'
loop_
_atom_site_label
_atom_site_type_symbol
_atom_site_fract_x
_atom_site_fract_y
_atom_site_fract_z
_atom_site_occupancy
Cs1 Cs 0.000 0.000 0.000 1
Ca1 Ca 0.505 0.500 0.618 1
Mo1 Mo 0.504 0.000 0.399 1
Pd1 Pd 0.005 0.000 0.572 1
I1 I 0.502 0.500 0.250 1

ii.
# CsCaMoPdI PBE relaxed
# N(E_F)   0.742 states/eV/atom
data_CsCaMoPdI
_cell_length_a 4.2563
_cell_length_b 4.2563
_cell_length_c 10.6939
_cell_angle_alpha 90.00
_cell_angle_beta 90.00
_cell_angle_gamma 120.00
_space_group_name_H-M_alt 'P 3 m 1'
_space_group_IT_number 156
_space_group_name_Hall 'P 3 -2"'
loop_
_atom_site_label
_atom_site_type_symbol
_atom_site_fract_x
_atom_site_fract_y
_atom_site_fract_z
_atom_site_occupancy
Cs1 Cs 0.0000 0.0000 0.0000 1
Ca1 Ca 0.3333 0.6667 0.4853 1
Mo1 Mo 0.6667 0.3333 0.7063 1
Pd1 Pd 0.0000 0.0000 0.6629 1
I1 I 0.6667 0.3333 0.2781 1

Most stable = ii

i.
# CsCaMoPdI PBE relaxed
# N(E_F)   0.815 states/eV/atom
data_CsCaMoPdI
_cell_length_a 4.366
_cell_length_b 5.097
_cell_length_c 15.415
_cell_angle_alpha 90.00
_cell_angle_beta 90.00
_cell_angle_gamma 90.00
_space_group_name_H-M_alt 'I m m 2'
_space_group_IT_number 44
_space_group_name_Hall 'I 2 -2'
loop_
_atom_site_label
_atom_site_type_symbol
_atom_site_fract_x
_atom_site_fract_y
_atom_site_fract_z
_atom_site_occupancy
Cs1 Cs 0.000 0.000 0.000 1
Ca1 Ca 0.000 0.500 0.267 1
Mo1 Mo 0.000 0.000 0.399 1
Pd1 Pd 0.000 0.500 0.811 1
I1 I 0.000 0.000 0.601 1

ii.
# CsCaMoPdI PBE relaxed
# N(E_F)   0.739 states/eV/atom
data_CsCaMoPdI
_cell_length_a 4.012
_cell_length_b 5.087
_cell_length_c 8.396
_cell_angle_alpha 90.00
_cell_angle_beta 90.00
_cell_angle_gamma 90.00
_space_group_name_H-M_alt 'P m m 2'
_space_group_IT_number 25
_space_group_name_Hall 'P 2 -2'
loop_
_atom_site_label
_atom_site_type_symbol
_atom_site_fract_x
_atom_site_fract_y
_atom_site_fract_z
_atom_site_occupancy
Cs1 Cs 0.000 0.000 0.000 1
Ca1 Ca 0.500 0.000 0.442 1
Mo1 Mo 0.000 0.500 0.458 1
Pd1 Pd 0.500 0.500 0.267 1
I1 I 0.500 0.500 0.707 1

iii.
# CsCaMoPdI PBE relaxed
# N(E_F)   0.809 states/eV/atom
data_CsCaMoPdI
_cell_length_a 4.3025
_cell_length_b 4.3025
_cell_length_c 31.0949
_cell_angle_alpha 90.00
_cell_angle_beta 90.00
_cell_angle_gamma 120.00
_space_group_name_H-M_alt 'R 3 m'
_space_group_IT_number 160
_space_group_name_Hall 'R 3 -2"'
loop_
_atom_site_label
_atom_site_type_symbol
_atom_site_fract_x
_atom_site_fract_y
_atom_site_fract_z
_atom_site_occupancy
Cs1 Cs 0.0000 0.0000 0.0000 1
Ca1 Ca 0.0000 0.0000 0.8333 1
Mo1 Mo 0.0000 0.0000 0.2376 1
Pd1 Pd 0.0000 0.0000 0.5679 1
I1 I 0.0000 0.0000 0.4300 1

Most stable = iii